1.
VASP calculation (PBE) on an optimized crystal structure of Bi6RhBr2.

Results
* formation energy from raw total energies: -0.15 eV/atom
* symmetry: C2/c (15)
* D(E_F): 4.41 states/eV/cell

a b c (Å): 10.026 10.026 7.859
angles (deg): 94.73 94.73 128.27
Positions (direct):
Bi  0.033  0.825  0.953
Bi  0.106  0.389  0.740
Bi  0.175  0.967  0.547
Bi  0.303  0.336  0.341
Bi  0.336  0.303  0.841
Bi  0.389  0.106  0.240
Bi  0.611  0.894  0.760
Bi  0.664  0.697  0.159
Bi  0.697  0.664  0.659
Bi  0.825  0.033  0.453
Bi  0.894  0.611  0.260
Bi  0.967  0.175  0.047
Rh  0.019  0.981  0.250
Rh  0.981  0.019  0.750
Br  0.262  0.664  0.496
Br  0.336  0.738  0.004
Br  0.664  0.262  0.996
Br  0.738  0.336  0.504

=====

2.
VASP calculation (PBE) on an optimized crystal structure of YZn4Mo.

Results
* symmetry: F-43m (216)
* ΔE_f: -80 meV per atom
* D(E_F): 4.28 states/eV/cell

a b c (Å): 5.207 5.207 5.207
angles (deg): 60.00 60.00 60.00
Positions (direct):
Y  0.000  0.000  0.000
Zn  0.129  0.624  0.624
Zn  0.624  0.129  0.624
Zn  0.624  0.624  0.129
Zn  0.624  0.624  0.624
Mo  0.250  0.250  0.250

=====

3.
VASP calculation (PBE) on an optimized crystal structure of CaYZr.

Results
* symmetry: Imm2 (44)
* ΔE_f: 285 meV per atom
* energy above the most stable polymorph in this dataset: 34 kJ/mol of formula units
* D(E_F): 10.73 states/eV/cell

a b c (Å): 3.399 4.868 10.868
angles (deg): 90.00 90.00 90.00
Positions (direct):
Ca  0.000  0.000  0.000
Ca  0.500  0.500  0.500
Y  0.000  0.000  0.314
Y  0.500  0.500  0.814
Zr  0.000  0.000  0.674
Zr  0.500  0.500  0.174

=====

4.
VASP calculation (PBE) on an optimized crystal structure of Sc2CSe.

Results
* formation energy from raw total energies: 0.06 eV/atom
* symmetry: R-3m (166)
* D(E_F): 9.23 states/eV/cell

a b c (Å): 4.225 4.225 19.985
angles (deg): 90.00 90.00 120.00
Positions (direct):
Sc  0.000  0.000  0.096
Sc  0.000  0.000  0.904
Sc  0.333  0.667  0.570
Sc  0.333  0.667  0.763
Sc  0.667  0.333  0.237
Sc  0.667  0.333  0.430
C  0.000  0.000  0.000
C  0.333  0.667  0.667
C  0.667  0.333  0.333
Se  0.000  0.000  0.500
Se  0.333  0.667  0.167
Se  0.667  0.333  0.833

=====

5.
VASP calculation (PBE) on an optimized crystal structure of Ta2CrOs.

Results
* symmetry: P4/mmm (123)
* ΔE_f: -284 meV per atom
* energy above the most stable polymorph in this dataset: 10 kJ/mol of formula units
* D(E_F): 1.70 states/eV/cell

a b c (Å): 3.133 3.133 6.319
angles (deg): 90.00 90.00 90.00
Positions (direct):
Ta  0.000  0.000  0.239
Ta  0.000  0.000  0.761
Cr  0.500  0.500  0.000
Os  0.500  0.500  0.500

=====

6.
VASP calculation (PBE) on an optimized crystal structure of BaCa2Fe.

Results
* symmetry: I4_1/amd (141)
* ΔE_f: 779 meV per atom
* energy above the most stable polymorph in this dataset: 152 kJ/mol of formula units
* D(E_F): 3.63 states/eV/cell

a b c (Å): 7.767 7.767 10.974
angles (deg): 90.00 90.00 90.00
Positions (direct):
Ba  0.000  0.250  0.375
Ba  0.000  0.750  0.625
Ba  0.500  0.250  0.125
Ba  0.500  0.750  0.875
Ca  0.000  0.000  0.000
Ca  0.000  0.500  0.000
Ca  0.250  0.250  0.750
Ca  0.250  0.750  0.250
Ca  0.500  0.000  0.500
Ca  0.500  0.500  0.500
Ca  0.750  0.250  0.750
Ca  0.750  0.750  0.250
Fe  0.000  0.250  0.875
Fe  0.000  0.750  0.125
Fe  0.500  0.250  0.625
Fe  0.500  0.750  0.375

=====

7.
VASP calculation (PBE) on an optimized crystal structure of PaAsRu2.

Results
* symmetry: R-3m (166)
* ΔE_f: -409 meV per atom
* energy above the most stable polymorph in this dataset: 51 kJ/mol of formula units
* D(E_F): 10.03 states/eV/cell

a b c (Å): 4.283 4.283 13.462
angles (deg): 90.00 90.00 120.00
Positions (direct):
Pa  0.000  0.000  0.000
Pa  0.333  0.667  0.667
Pa  0.667  0.333  0.333
As  0.000  0.000  0.500
As  0.333  0.667  0.167
As  0.667  0.333  0.833
Ru  0.000  0.000  0.220
Ru  0.000  0.000  0.780
Ru  0.333  0.667  0.447
Ru  0.333  0.667  0.886
Ru  0.667  0.333  0.114
Ru  0.667  0.333  0.553

=====

8.
VASP calculation (PBE) on an optimized crystal structure of CaSbRh3.

Results
* formation energy from raw total energies: 0.14 eV/atom
* symmetry: Pm-3m (221)
* energy above the most stable polymorph in this dataset: 253 kJ/mol of formula units
* D(E_F): 0.86 states/eV/cell

a b c (Å): 4.861 4.861 4.861
angles (deg): 90.00 90.00 90.00
Positions (direct):
Ca  0.000  0.000  0.000
Sb  0.500  0.500  0.500
Rh  0.000  0.500  0.500
Rh  0.500  0.000  0.500
Rh  0.500  0.500  0.000

=====

Number 1: uncorrected energy -3.927 eV per atom. Number 2: uncorrected energy -3.811 eV per atom. Number 3: uncorrected energy -5.386 eV per atom. Number 4: uncorrected energy -6.278 eV per atom. Number 5: uncorrected energy -11.424 eV per atom. Number 6: uncorrected energy -2.818 eV per atom. Number 7: uncorrected energy -8.583 eV per atom. Number 8: uncorrected energy -5.493 eV per atom.